Entry 1:
# Sm3Y3Pd2 | Alexandria via LeMat-Bulk | PBE | relaxed
data_Sm3Y3Pd2
_chemical_formula_sum 'Sm12 Y12 Pd8'
_cell_length_a 3.793
_cell_length_b 13.355
_cell_length_c 18.865
_cell_angle_alpha 90.00
_cell_angle_beta 90.00
_cell_angle_gamma 90.00
_symmetry_space_group_name_H-M 'C m c m'
_symmetry_Int_Tables_number 63
_symmetry_space_group_name_Hall '-C 2c 2'
loop_
_atom_site_label
_atom_site_type_symbol
_atom_site_fract_x
_atom_site_fract_y
_atom_site_fract_z
Sm1 Sm 0.000 0.048 0.250
Sm2 Sm 0.000 0.172 0.558
Y1 Y 0.000 0.225 0.750
Y2 Y 0.000 0.444 0.586
Pd1 Pd 0.000 0.204 0.139
# E_form in eV/atom: -0.348
# Calculated total energy in Ry/atom: -0.429

***

Entry 2:
# Nd4MgAg | Alexandria via LeMat-Bulk | PBE | relaxed
data_Nd4MgAg
_chemical_formula_sum 'Nd4 Mg1 Ag1'
_cell_length_a 5.106
_cell_length_b 5.098
_cell_length_c 7.989
_cell_angle_alpha 90.00
_cell_angle_beta 90.01
_cell_angle_gamma 90.00
_symmetry_space_group_name_H-M 'P 1 m 1'
_symmetry_Int_Tables_number 6
_symmetry_space_group_name_Hall 'P -2y'
loop_
_atom_site_label
_atom_site_type_symbol
_atom_site_fract_x
_atom_site_fract_y
_atom_site_fract_z
Nd1 Nd 0.000 0.000 0.000
Nd2 Nd 0.000 0.000 0.463
Nd3 Nd 0.500 0.500 0.000
Nd4 Nd 0.500 0.500 0.463
Mg1 Mg 0.999 0.500 0.732
Ag1 Ag 0.500 0.000 0.231
# E_form in eV/atom: 0.219
# Calculated total energy in Ry/atom: -0.272

***

Entry 3:
# AcCeY2 | Alexandria via LeMat-Bulk | PBE | relaxed
data_AcCeY2
_chemical_formula_sum 'Ac1 Ce1 Y2'
_cell_length_a 3.702
_cell_length_b 3.702
_cell_length_c 10.109
_cell_angle_alpha 90.00
_cell_angle_beta 90.00
_cell_angle_gamma 90.00
_symmetry_space_group_name_H-M 'P 4/m m m'
_symmetry_Int_Tables_number 123
_symmetry_space_group_name_Hall '-P 4 2'
loop_
_atom_site_label
_atom_site_type_symbol
_atom_site_fract_x
_atom_site_fract_y
_atom_site_fract_z
Ac1 Ac 0.000 0.000 0.000
Ce1 Ce 0.000 0.000 0.500
Y1 Y 0.500 0.500 0.270
# E_form in eV/atom: 0.093
# Calculated total energy in Ry/atom: -0.415

***

Among the records above, which one has the highest calculated total energy?
Nd4MgAg